The following is a DFT calculation (PBE) of a relaxed structure of LiAg3C2O6.

Results
Space group = P-3m1 (164)
Final energy = -5.8263 eV per atom

```
LiAg3C2O6
1.0
5.158 0.000 0.000
-2.579 4.467 0.000
0.000 0.000 6.558
Li Ag C O
1 3 2 6
direct
0.000 0.000 0.000
0.000 0.000 0.500
0.333 0.667 0.246
0.667 0.333 0.754
0.333 0.667 0.784
0.667 0.333 0.216
0.188 0.375 0.784
0.188 0.812 0.784
0.375 0.188 0.216
0.625 0.812 0.784
0.812 0.188 0.216
0.812 0.625 0.216
```



The following is a DFT calculation (PBE) of a relaxed structure of Ac2HgPd6Pb3.

Results
D(E_F) = 8.61 states/eV/cell
Formation enthalpy at 0 K = -0.27 eV/atom
Space group = P4/mmm (123)

```
Ac2HgPd6Pb3
1.0
4.251 0.000 0.000
0.000 4.251 0.000
0.000 0.000 17.770
Ac Hg Pd Pb
2 1 6 3
direct
0.000 0.000 0.190
0.000 0.000 0.810
0.000 0.000 0.500
0.000 0.500 0.399
0.000 0.500 0.601
0.500 0.000 0.399
0.500 0.000 0.601
0.500 0.500 0.149
0.500 0.500 0.851
0.500 0.500 0.000
0.500 0.500 0.305
0.500 0.500 0.695
```



The following is a DFT calculation (PBE) of a relaxed structure of CaP2BrO.

Results
D(E_F) = 6.01 states/eV/cell
Space group = P4/mmm (123)
Relative energy among the computed polymorphs = 181 meV/atom

```
CaP2BrO
1.0
5.484 0.000 0.000
0.000 5.484 0.000
0.000 0.000 4.193
Ca P Br O
1 2 1 1
direct
0.000 0.000 0.000
0.000 0.500 0.000
0.500 0.000 0.000
0.500 0.500 0.500
0.000 0.000 0.500
```



The following is a DFT calculation (PBE) of a relaxed structure of Ac3Se.

Results
D(E_F) = 4.50 states/eV/cell
Space group = Imm2 (44)
Relative energy among the computed polymorphs = 0 meV/atom

```
Ac3Se
1.0
-2.035 5.337 3.589
2.035 -5.337 3.589
2.035 5.337 -3.589
Ac Se
3 1
direct
0.000 0.000 0.000
0.252 0.443 0.809
0.634 0.443 0.191
0.665 0.165 0.500
```



The following is a DFT calculation (PBE) of a relaxed structure of Ce4CuSi2Ge2.

Results
D(E_F) = 20.36 states/eV/cell
Space group = C2/m (12)
Final energy = -5.7951 eV per atom

```
Ce4CuSi2Ge2
1.0
4.271 -4.153 0.000
4.271 4.153 0.000
-1.077 0.000 5.665
Ce Cu Si Ge
4 1 2 2
direct
0.076 0.652 0.752
0.348 0.924 0.248
0.652 0.076 0.752
0.924 0.348 0.248
0.500 0.500 0.500
0.392 0.392 0.102
0.608 0.608 0.898
0.151 0.151 0.762
0.849 0.849 0.238
```



The following is a DFT calculation (PBE) of a relaxed structure of Pr5Al2Pb.

Results
D(E_F) = 18.66 states/eV/cell
Formation enthalpy at 0 K = -0.36 eV/atom
Space group = I4/mcm (140)

```
Pr5Al2Pb
1.0
-4.113 4.113 7.340
4.113 -4.113 7.340
4.113 4.113 -7.340
Pr Al Pb
10 4 2
direct
0.000 0.000 0.000
0.023 0.523 0.841
0.183 0.023 0.500
0.317 0.817 0.841
0.477 0.317 0.500
0.500 0.500 0.000
0.523 0.683 0.500
0.683 0.183 0.159
0.817 0.977 0.500
0.977 0.477 0.159
0.118 0.382 0.500
0.382 0.882 0.265
0.618 0.118 0.735
0.882 0.618 0.500
0.250 0.250 0.000
0.750 0.750 0.000
```



The following is a DFT calculation (PBE) of a relaxed structure of TmPaSn2O8.

Results
D(E_F) = 0.00 states/eV/cell
Space group = I-4m2 (119)
Final energy = -7.6051 eV per atom

```
TmPaSn2O8
1.0
-3.570 3.570 3.489
3.570 -3.570 3.489
3.570 3.570 -3.489
Tm Pa Sn O
1 1 2 8
direct
0.000 0.000 0.000
0.250 0.750 0.500
0.500 0.500 0.000
0.750 0.250 0.500
0.299 0.107 0.808
0.299 0.491 0.192
0.355 0.043 0.312
0.509 0.701 0.808
0.730 0.043 0.688
0.893 0.701 0.192
0.957 0.270 0.312
0.957 0.645 0.688
```



The following is a DFT calculation (PBE) of a relaxed structure of RbNa2ReI8.

Results
D(E_F) = 4.10 states/eV/cell
Space group = P-1 (2)
Final energy = -2.9415 eV per atom

```
RbNa2ReI8
1.0
6.789 0.000 0.000
-0.477 7.352 0.000
-0.035 -0.008 10.330
Rb Na Re I
1 2 1 8
direct
0.000 0.000 0.000
0.500 0.500 0.275
0.500 0.500 0.725
0.000 0.000 0.500
0.229 0.323 0.499
0.229 0.863 0.311
0.231 0.865 0.690
0.249 0.490 0.000
0.751 0.510 0.000
0.769 0.135 0.310
0.771 0.137 0.689
0.771 0.677 0.501
```



Copy entry 4 word for word.
The following is a DFT calculation (PBE) of a relaxed structure of Ac3Se.

Results
D(E_F) = 4.50 states/eV/cell
Space group = Imm2 (44)
Relative energy among the computed polymorphs = 0 meV/atom

```
Ac3Se
1.0
-2.035 5.337 3.589
2.035 -5.337 3.589
2.035 5.337 -3.589
Ac Se
3 1
direct
0.000 0.000 0.000
0.252 0.443 0.809
0.634 0.443 0.191
0.665 0.165 0.500
```